Entry from Alexandria: crystalline Ac5Au2N2 at its relaxed geometry (GGA-PBE).

Geometry as CIF:
```
data_Ac5Au2N2
_chemical_formula_sum 'Ac20 Au8 N8'
_space_group_name_H-M_alt 'I m a 2'
_space_group_IT_number 46
_cell_length_a 19.5693
_cell_length_b 7.6222
_cell_length_c 7.3290
_cell_angle_alpha 90.00
_cell_angle_beta 90.00
_cell_angle_gamma 90.00
loop_
_space_group_symop_operation_xyz
'x,y,z'
'-x,-y,z'
'-x+1/2,y,z'
'x+1/2,-y,z'
'x+1/2,y+1/2,z+1/2'
'-x+1/2,-y+1/2,z+1/2'
'-x,y+1/2,z+1/2'
'x,-y+1/2,z+1/2'
loop_
_atom_site_label
_atom_site_type_symbol
_atom_site_fract_x
_atom_site_fract_y
_atom_site_fract_z
Ac1 Ac 0.0157 0.2442 0.0000
Ac2 Ac 0.1433 0.5654 0.7800
Ac3 Ac 0.2500 0.1239 0.8507
Au1 Au 0.1026 0.5267 0.2429
N1 N 0.0000 0.0000 0.2641
N2 N 0.2500 0.0811 0.1985
```

Output
Its density of states at the Fermi level is 0.711 states/eV per atom. Its volume is 30.37 A^3/atom. Its electronic total energy is -205.02 eV for the cell shown.

Entry from Alexandria: crystalline Ac3AuN2 at its relaxed geometry (GGA-PBE).

Geometry as CIF:
```
data_Ac3AuN2
_chemical_formula_sum 'Ac12 Au4 N8'
_space_group_name_H-M_alt 'C 1 2/m 1'
_space_group_IT_number 12
_cell_length_a 23.9691
_cell_length_b 4.2201
_cell_length_c 7.1458
_cell_angle_alpha 90.00
_cell_angle_beta 103.14
_cell_angle_gamma 90.00
loop_
_space_group_symop_operation_xyz
'x,y,z'
'-x,-y,-z'
'-x,y,-z'
'x,-y,z'
'x+1/2,y+1/2,z'
'-x+1/2,-y+1/2,-z'
'-x+1/2,y+1/2,-z'
'x+1/2,-y+1/2,z'
loop_
_atom_site_label
_atom_site_type_symbol
_atom_site_fract_x
_atom_site_fract_y
_atom_site_fract_z
Ac1 Ac 0.0466 0.0000 0.2473
Ac2 Ac 0.1018 0.5000 0.8247
Ac3 Ac 0.2283 0.0000 0.1954
Au1 Au 0.1505 0.5000 0.4329
N1 N 0.0570 0.0000 0.9192
N2 N 0.2003 0.5000 0.0049
```

Output
Its density of states at the Fermi level is 0.462 states/eV per atom. Its volume is 29.33 A^3/atom. Its electronic total energy is -152.01 eV for the cell shown.

Entry from Alexandria: crystalline Ac5Au2N at its relaxed geometry (GGA-PBE).

Geometry as CIF:
```
data_Ac5Au2N
_chemical_formula_sum 'Ac20 Au8 N4'
_space_group_name_H-M_alt 'C m c m'
_space_group_IT_number 63
_space_group_name_Hall '-C 2c 2'
_cell_length_a 5.3750
_cell_length_b 13.0280
_cell_length_c 15.3191
_cell_angle_alpha 90.00
_cell_angle_beta 90.00
_cell_angle_gamma 90.00
loop_
_atom_site_label
_atom_site_type_symbol
_atom_site_fract_x
_atom_site_fract_y
_atom_site_fract_z
Ac1 Ac 0.0000 0.1087 0.1194
Ac2 Ac 0.0000 0.2494 0.7500
Ac3 Ac 0.0000 0.3915 0.1191
Au1 Au 0.0000 0.2499 0.5515
N1 N 0.0000 0.2502 0.2500
```

Output
Its density of states at the Fermi level is 0.975 states/eV per atom. Its volume is 33.52 A^3/atom. Its electronic total energy is -159.18 eV for the cell shown.

Entry from Alexandria: crystalline Ac6Au3N2 at its relaxed geometry (GGA-PBE).

Geometry as CIF:
```
data_Ac6Au3N2
_chemical_formula_sum 'Ac12 Au6 N4'
_space_group_name_H-M_alt 'I 4/m m m'
_space_group_IT_number 139
_space_group_name_Hall '-I 4 2'
_cell_length_a 5.1609
_cell_length_b 5.1609
_cell_length_c 25.2483
_cell_angle_alpha 90.00
_cell_angle_beta 90.00
_cell_angle_gamma 90.00
loop_
_atom_site_label
_atom_site_type_symbol
_atom_site_fract_x
_atom_site_fract_y
_atom_site_fract_z
Ac1 Ac 0.0000 0.0000 0.2027
Ac2 Ac 0.0000 0.5000 0.0849
Au1 Au 0.0000 0.0000 0.3304
Au2 Au 0.0000 0.0000 0.5000
N1 N 0.0000 0.0000 0.1074
```

Output
Its density of states at the Fermi level is 0.969 states/eV per atom. Its volume is 30.57 A^3/atom. Its electronic total energy is -119.45 eV for the cell shown.

Entry from Alexandria: crystalline Ac3Au2N at its relaxed geometry (GGA-PBE).

Geometry as CIF:
```
data_Ac3Au2N
_chemical_formula_sum 'Ac12 Au8 N4'
_space_group_name_H-M_alt 'C 1 2/c 1'
_space_group_IT_number 15
_cell_length_a 12.3820
_cell_length_b 7.8304
_cell_length_c 7.6601
_cell_angle_alpha 90.00
_cell_angle_beta 105.97
_cell_angle_gamma 90.00
loop_
_space_group_symop_operation_xyz
'x,y,z'
'-x,-y,-z'
'-x,y,-z+1/2'
'x,-y,z+1/2'
'x+1/2,y+1/2,z'
'-x+1/2,-y+1/2,-z'
'-x+1/2,y+1/2,-z+1/2'
'x+1/2,-y+1/2,z+1/2'
loop_
_atom_site_label
_atom_site_type_symbol
_atom_site_fract_x
_atom_site_fract_y
_atom_site_fract_z
Ac1 Ac 0.0000 0.1031 0.2500
Ac2 Ac 0.1406 0.4406 0.9780
Au1 Au 0.1713 0.1753 0.6495
N1 N 0.0000 0.4162 0.2500
```

Output
Its density of states at the Fermi level is 0.524 states/eV per atom. Its volume is 29.75 A^3/atom. Its electronic total energy is -129.06 eV for the cell shown.

Entry from Alexandria: crystalline Ac12Au6N at its relaxed geometry (GGA-PBE).

Geometry as CIF:
```
data_Ac12Au6N
_chemical_formula_sum 'Ac36 Au18 N3'
_space_group_name_H-M_alt 'R -3'
_space_group_IT_number 148
_space_group_name_Hall '-R 3'
_cell_length_a 13.4347
_cell_length_b 13.4347
_cell_length_c 13.2452
_cell_angle_alpha 90.00
_cell_angle_beta 90.00
_cell_angle_gamma 120.00
loop_
_atom_site_label
_atom_site_type_symbol
_atom_site_fract_x
_atom_site_fract_y
_atom_site_fract_z
Ac1 Ac 0.0230 0.2011 0.3900
Ac2 Ac 0.0391 0.1827 0.8809
Au1 Au 0.0465 0.2787 0.6486
N1 N 0.0000 0.0000 0.0000
```

Output
Its density of states at the Fermi level is 1.184 states/eV per atom. Its volume is 36.32 A^3/atom. Its electronic total energy is -261.29 eV for the cell shown.